Below is an optimized crystal structure of Er5TmMg6, with properties calculated at the PBE level.

Cell lengths 5.340, 7.476, 8.442 Å; angles 90.00, 71.56, 90.00 degrees
Sites, in units of the cell vectors:
Er  0.666  0.000  0.667
Er  0.000  0.500  0.000
Er  0.333  0.500  0.334
Er  0.667  0.500  0.666
Er  0.334  0.000  0.333
Mg  0.167  0.750  0.666
Mg  0.500  0.250  0.000
Mg  0.167  0.250  0.666
Mg  0.500  0.750  0.000
Mg  0.833  0.250  0.334
Mg  0.833  0.750  0.334
Tm  0.000  0.000  0.000

Calculated values
Uncorrected energy ... -3.137 eV per atom
N(E_F) ... 16.8 states/eV/f.u.
Magnetization ... 0.000 μB/f.u.
Energy of formation from the pure elements ... -6.4 kJ/mol of atoms

=====

Below is an optimized crystal structure of Er2TmMg2, with properties calculated at the PBE level.

Cell lengths 3.681, 5.381, 13.946 Å; angles 90.00, 97.58, 90.00 degrees
Sites, in units of the cell vectors:
Mg  0.554  0.250  0.109
Mg  0.446  0.750  0.891
Mg  0.639  0.750  0.280
Mg  0.361  0.250  0.720
Er  0.044  0.750  0.087
Er  0.763  0.250  0.525
Er  0.956  0.250  0.913
Er  0.237  0.750  0.475
Tm  0.152  0.250  0.306
Tm  0.848  0.750  0.694

Calculated values
Uncorrected energy ... -3.414 eV per atom
N(E_F) ... 5.3 states/eV/f.u.
Magnetization ... 0.000 μB/f.u.
ΔE to the lowest computed polymorph ... 0.0 kJ/mol of atoms
Energy of formation from the pure elements ... -5.5 kJ/mol of atoms

=====

Copy entry 2 word for word.
Below is an optimized crystal structure of Er2TmMg2, with properties calculated at the PBE level.

Cell lengths 3.681, 5.381, 13.946 Å; angles 90.00, 97.58, 90.00 degrees
Sites, in units of the cell vectors:
Mg  0.554  0.250  0.109
Mg  0.446  0.750  0.891
Mg  0.639  0.750  0.280
Mg  0.361  0.250  0.720
Er  0.044  0.750  0.087
Er  0.763  0.250  0.525
Er  0.956  0.250  0.913
Er  0.237  0.750  0.475
Tm  0.152  0.250  0.306
Tm  0.848  0.750  0.694

Calculated values
Uncorrected energy ... -3.414 eV per atom
N(E_F) ... 5.3 states/eV/f.u.
Magnetization ... 0.000 μB/f.u.
ΔE to the lowest computed polymorph ... 0.0 kJ/mol of atoms
Energy of formation from the pure elements ... -5.5 kJ/mol of atoms

=====

> Look up the N(E_F) of the second one.

5.3 states/eV/f.u.

=====

> Which value of energy of formation from the pure elements does entry 1 give?

-6.4 kJ/mol of atoms